# 1
Here is a relaxed AlRu2Se crystal from Alexandria via LeMat-Bulk. Energies are from GGA-PBE.

The value obtained for the energy relative to the lowest polymorph listed for this composition is 0.35 eV per formula unit. For the uncorrected formation energy, the calculation gives -0.52 eV/f.u. As for the total magnetization: 0.00 μB per formula unit. Its crystal system is orthorhombic.

Cell lengths 2.984, 4.603, 4.321 Å; angles 90.00, 90.00, 90.00 degrees
Space group Pmm2 (No. 25)
Inequivalent atoms, fractional coordinates:
1 Al 0.000 0.000 0.000 [1 per cell]
2 Ru 0.000 0.500 0.707 [1 per cell]
3 Ru 0.500 0.000 0.511 [1 per cell]
4 Se 0.500 0.500 0.236 [1 per cell]

# 2
Here is a relaxed Al2RuSe crystal from Alexandria via LeMat-Bulk. Energies are from GGA-PBE.

For the uncorrected formation energy, the calculation gives 0.65 eV/f.u. As for the total magnetization: 0.00 μB per formula unit. Its crystal system is tetragonal.

Cell lengths 5.834, 5.834, 10.926 Å; angles 90.00, 90.00, 90.00 degrees
Space group I-42d (No. 122)
Inequivalent atoms, fractional coordinates:
1 Al 0.229 0.250 0.125 [8 per cell]
2 Ru 0.000 0.000 0.000 [4 per cell]
3 Se 0.000 0.000 0.500 [4 per cell]

# 3
Here is a relaxed Al2Ru2Se crystal from Alexandria via LeMat-Bulk. Energies are from GGA-PBE.

The value obtained for the energy relative to the lowest polymorph listed for this composition is 0.69 eV per formula unit. For the uncorrected formation energy, the calculation gives -0.23 eV/f.u. As for the total magnetization: 0.00 μB per formula unit. Its crystal system is tetragonal.

Cell lengths 7.133, 7.133, 3.013 Å; angles 90.00, 90.00, 90.00 degrees
Space group P4/mbm (No. 127)
Inequivalent atoms, fractional coordinates:
1 Al 0.132 0.368 0.000 [4 per cell]
2 Ru 0.163 0.663 0.500 [4 per cell]
3 Se 0.000 0.000 0.000 [2 per cell]

# 4
Here is a relaxed AlRu2Se crystal from Alexandria via LeMat-Bulk. Energies are from GGA-PBE.

The value obtained for the energy relative to the lowest polymorph listed for this composition is 1.26 eV per formula unit. For the uncorrected formation energy, the calculation gives 0.39 eV/f.u. As for the total magnetization: 0.00 μB per formula unit. Its crystal system is monoclinic.

Cell lengths 2.967, 4.078, 5.345 Å; angles 90.00, 102.36, 90.00 degrees
Space group P2/m (No. 10)
Inequivalent atoms, fractional coordinates:
1 Al 0.000 0.000 0.000 [1 per cell]
2 Ru 0.389 0.500 0.225 [2 per cell]
3 Se 0.500 0.000 0.500 [1 per cell]

# 5
Here is a relaxed AlRuSe2 crystal from Alexandria via LeMat-Bulk. Energies are from GGA-PBE.

For the uncorrected formation energy, the calculation gives 0.63 eV/f.u. As for the total magnetization: 0.00 μB per formula unit. Its crystal system is tetragonal.

Cell lengths 4.585, 4.585, 3.103 Å; angles 90.00, 90.00, 90.00 degrees
Space group P4/mmm (No. 123)
Inequivalent atoms, fractional coordinates:
1 Al 0.000 0.000 0.000 [1 per cell]
2 Ru 0.500 0.500 0.000 [1 per cell]
3 Se 0.000 0.500 0.500 [2 per cell]

# 6
Here is a relaxed Al2RuSe crystal from Alexandria via LeMat-Bulk. Energies are from GGA-PBE.

For the uncorrected formation energy, the calculation gives -0.50 eV/f.u. As for the total magnetization: 0.00 μB per formula unit. Its crystal system is monoclinic.

Cell lengths 8.993, 3.282, 4.658 Å; angles 90.00, 115.23, 90.00 degrees
Space group C2/m (No. 12)
Inequivalent atoms, fractional coordinates:
1 Al 0.250 0.000 0.239 [4 per cell]
2 Ru 0.000 0.500 0.000 [2 per cell]
3 Se 0.000 0.000 0.500 [2 per cell]